K3ErSb2S6 | PBE | relaxed

Lattice parameters (Å, degrees): 7.0432 7.0432 7.7191 98.74 98.74 120.00
Closest atoms and distances in Å follow each position.
Atoms (fractional coordinates):
K 0.0000 0.0000 0.0000  6 S 3.20-3.23
K 0.3309 0.6691 0.0000  6 S 3.20-3.22
K 0.6691 0.3309 0.0000  6 S 3.20-3.22
Er 0.5000 0.5000 0.5000  6 S 2.75
Sb 0.1664 0.8336 0.5000  6 S 2.79-2.80
Sb 0.8336 0.1664 0.5000  6 S 2.79-2.80
S 0.1042 0.4326 0.2978  1 Er 2.75, 2 Sb 2.79-2.80
S 0.2391 0.2391 0.7028  1 Er 2.75, 2 Sb 2.79
S 0.4326 0.1042 0.2978  1 Er 2.75, 2 Sb 2.79-2.80
S 0.5674 0.8958 0.7022  1 Er 2.75, 2 Sb 2.79-2.80
S 0.7609 0.7609 0.2972  1 Er 2.75, 2 Sb 2.79
S 0.8958 0.5674 0.7022  1 Er 2.75, 2 Sb 2.79-2.80

## Properties
**Total energy**: -4.50 eV per atom
**Energy relative to the elements, uncorrected**: -1.094 eV per atom
**Space-group type**: C2/m
**Spin magnetization**: 0.00 μB per formula unit


Ca2H2Br | PBE | relaxed

Lattice parameters (Å, degrees): 7.3802 7.3802 7.3802 124.60 124.60 82.21
Closest atoms and distances in Å follow each position.
Atoms (fractional coordinates):
Ca 0.2398 0.0000 0.2398  3 H 2.24-2.31
Ca 0.7500 0.0102 0.2602  3 H 2.24-2.31
Ca 0.7500 0.4898 0.7398  3 H 2.24-2.31
Ca 0.7602 0.0000 0.7602  3 H 2.24-2.31
H 0.4960 0.2053 0.2907  3 Ca 2.24-2.31
H 0.9146 0.2053 0.7093  3 Ca 2.24-2.31
H 0.9553 0.1646 0.2093  3 Ca 2.24-2.31
H 0.9553 0.7460 0.7907  3 Ca 2.24-2.31
Br 0.2945 0.7945 0.5000  2 Ca 2.90
Br 0.5445 0.5445 0.0000  2 Ca 2.90

## Properties
**Total energy**: -3.10 eV per atom
**Offset from the most stable computed form**: 221 meV per atom
**Space-group type**: I4_1md
**Spin magnetization**: 1.00 μB per formula unit


Ba2AlAs2 | PBE | relaxed

Lattice parameters (Å, degrees): 8.3147 8.3147 8.3147 130.15 70.77 133.20
Closest atoms and distances in Å follow each position.
Atoms (fractional coordinates):
Ba 0.1422 0.1803 0.3225  2 Al 3.39, 6 As 3.39-3.61
Ba 0.3578 0.6803 0.0382  2 Al 3.39, 6 As 3.39-3.61
Ba 0.6422 0.3197 0.9618  2 Al 3.39, 6 As 3.39-3.61
Ba 0.8578 0.8197 0.6775  2 Al 3.39, 6 As 3.39-3.61
Al 0.2500 0.7500 0.5000  4 As 2.58
Al 0.7500 0.2500 0.5000  4 As 2.58
As 0.1077 0.6912 0.7989  2 Al 2.58
As 0.3923 0.1912 0.5835  2 Al 2.58
As 0.6077 0.8088 0.4165  2 Al 2.58
As 0.8923 0.3088 0.2011  2 Al 2.58

## Properties
**Total energy**: -4.25 eV per atom
**Offset from the most stable computed form**: 0 meV per atom
**Space-group type**: Ibam
**Spin magnetization**: 0.00 μB per formula unit


CaTb2Al | PBE | relaxed

Lattice parameters (Å, degrees): 4.8963 4.8963 4.7118 90.00 90.00 90.00
Closest atoms and distances in Å follow each position.
Atoms (fractional coordinates):
Ca 0.0000 0.0000 0.0000  8 Tb 3.40, 4 Al 3.46
Tb 0.0000 0.5000 0.5000  4 Ca 3.40, 4 Al 3.40, 4 Tb 3.46
Tb 0.5000 0.0000 0.5000  4 Ca 3.40, 4 Al 3.40, 4 Tb 3.46
Al 0.5000 0.5000 0.0000  8 Tb 3.40, 4 Ca 3.46

## Properties
**Total energy**: -3.84 eV per atom
**Offset from the most stable computed form**: 53 meV per atom
**Space-group type**: P4/mmm
**Spin magnetization**: 0.00 μB per formula unit


LaCu2Ni | PBE | relaxed

Lattice parameters (Å, degrees): 3.5692 3.8321 5.5854 90.00 108.09 90.00
Closest atoms and distances in Å follow each position.
Atoms (fractional coordinates):
La 0.0000 0.0000 0.0000  3 Cu 2.78-3.11, 4 Ni 2.83
Cu 0.2690 0.5000 0.5538  2 Ni 2.57-2.58, 4 Cu 2.64-2.66
Cu 0.7287 0.0000 0.4774  2 Ni 2.41, 4 Cu 2.64-2.66
Ni 0.6000 0.5000 0.2034  4 Cu 2.41-2.58

## Properties
**Total energy**: -4.76 eV per atom
**Space-group type**: Pm
**Spin magnetization**: 0.00 μB per formula unit


CoAg2Cl | PBE | relaxed

Lattice parameters (Å, degrees): 3.2342 3.2486 6.7114 90.00 90.91 90.00
Closest atoms and distances in Å follow each position.
Atoms (fractional coordinates):
Co 0.0000 0.0000 0.0000  8 Ag 2.72
Ag 0.4930 0.5000 0.7807  4 Co 2.72, 4 Cl 2.94-3.00, 1 Ag 2.94
Ag 0.5070 0.5000 0.2193  4 Co 2.72, 4 Cl 2.94-3.00, 1 Ag 2.94
Cl 0.0000 0.0000 0.5000  8 Ag 2.94-3.00, 4 Cl 3.23-3.25

## Properties
**Total energy**: -3.38 eV per atom
**Offset from the most stable computed form**: 154 meV per atom
**Energy relative to the elements, uncorrected**: 0.283 eV per atom
**Space-group type**: P2/m
**Spin magnetization**: 1.88 μB per formula unit